# CaHo4Se6

Crystalline CaHo4Se6 at its relaxed geometry (PBE, the Alexandria database).

Output
The formation energy (no corrections) comes out at -20.3 eV/f.u.

Geometry as POSCAR:
```
CaHo4Se6
1.0
4.0400 0.0000 0.0000
-2.0200 6.6831 0.0000
0.0000 0.0000 20.8539
Ca Ho Se
2 8 12
direct
0.6584 0.3169 0.2500
0.3416 0.6831 0.7500
0.8612 0.7224 0.5396
0.4084 0.8167 0.1294
0.1388 0.2776 0.4604
0.5916 0.1833 0.8706
0.8612 0.7224 0.9604
0.1388 0.2776 0.0396
0.5916 0.1833 0.6294
0.4084 0.8167 0.3706
0.5000 0.0000 0.0000
0.5000 0.0000 0.5000
0.0476 0.0952 0.3366
0.9524 0.9048 0.6634
0.9524 0.9048 0.8366
0.0476 0.0952 0.1634
0.7700 0.5399 0.4125
0.2300 0.4601 0.5875
0.2300 0.4601 0.9125
0.7700 0.5399 0.0875
0.3158 0.6316 0.2500
0.6842 0.3684 0.7500
```